No. 1
Density functional theory data (GGA-PBE) for Er2GaIr3 after structural relaxation.

a b c (Å): 5.5333 5.5333 8.0968
angles (deg): 90.00 90.00 120.00
Last column: nearest neighbours and their distance in Å.
Space group P6_3/mmc (No. 194)
Inequivalent atoms, fractional coordinates:
Er 0.3333 0.6667 0.0622  9 Ir 2.97-3.16, 1 Er 3.04, 3 Ga 3.23
Ga 0.0000 0.0000 0.0000  6 Ir 2.60
Ir 0.1710 0.3420 0.7500  2 Ga 2.60, 4 Ir 2.70-2.84

No. 2
Density functional theory data (GGA-PBE) for Er4GaIr after structural relaxation.

The value obtained for the excess energy over the best structure of this formula in the dataset is 0.0 kJ per mole of atoms.

a b c (Å): 13.3255 13.3255 13.3255
angles (deg): 90.00 90.00 90.00
Last column: nearest neighbours and their distance in Å.
Space group F-43m (No. 216)
Inequivalent atoms, fractional coordinates:
Er 0.0000 0.0000 0.1889  2 Ga 3.16, 6 Er 3.39-3.51, 2 Ir 3.39
Er 0.0549 0.2500 0.7500  2 Ir 2.77
Er 0.1044 0.1044 0.3956  3 Ir 2.83
Ga 0.1670 0.1670 0.1670  3 Ga 3.13, 9 Er 3.16-3.35
Ir 0.1077 0.1077 0.6077  6 Er 2.77-2.83

No. 3
Density functional theory data (GGA-PBE) for ErGaIr after structural relaxation.

a b c (Å): 6.7752 4.3191 7.7571
angles (deg): 90.00 90.00 90.00
Last column: nearest neighbours and their distance in Å.
Space group Pnma (No. 62)
Inequivalent atoms, fractional coordinates:
Er 0.0241 0.2500 0.1878  5 Ir 2.85-3.01, 6 Ga 3.09-3.19
Ga 0.1573 0.2500 0.5682  4 Ir 2.60-2.65
Ir 0.2310 0.7500 0.3890  4 Ga 2.60-2.65, 1 Er 2.85

No. 4
Density functional theory data (GGA-PBE) for Er3Ga2Ir2 after structural relaxation.

a b c (Å): 5.5308 7.7023 13.6783
angles (deg): 90.00 90.00 90.00
Last column: nearest neighbours and their distance in Å.
Space group Pbcm (No. 57)
Inequivalent atoms, fractional coordinates:
Er 0.1190 0.2348 0.2500  3 Ga 2.99-3.04, 4 Ir 3.00-3.13
Er 0.3482 0.6002 0.0976  4 Ir 2.89-3.00, 4 Ga 3.01-3.23
Ga 0.1414 0.2500 0.0000  4 Ir 2.57-2.63
Ga 0.3863 0.6086 0.7500  2 Ir 2.56
Ir 0.1488 0.5381 0.5942  3 Ga 2.56-2.63

No. 5
Density functional theory data (GGA-PBE) for Er4GaIr after structural relaxation.

The value obtained for the excess energy over the best structure of this formula in the dataset is 15.0 kJ per mole of atoms.

a b c (Å): 7.0837 6.8809 6.8209
angles (deg): 90.00 91.85 90.00
Last column: nearest neighbours and their distance in Å.
Space group P2_1/c (No. 14)
Inequivalent atoms, fractional coordinates:
Er 0.1532 0.1616 0.1725  2 Ir 2.75-2.81, 1 Ga 2.97
Er 0.3220 0.6566 0.1448  1 Ir 2.68, 2 Ga 2.87-2.90
Ga 0.5000 0.0000 0.0000  6 Er 2.87-2.97
Ir 0.0000 0.0000 0.5000  6 Er 2.68-2.81

No. 6
Density functional theory data (GGA-PBE) for Er4Ga12Ir after structural relaxation.

a b c (Å): 8.5754 8.5754 8.5754
angles (deg): 90.00 90.00 90.00
Last column: nearest neighbours and their distance in Å.
Space group Im-3m (No. 229)
Inequivalent atoms, fractional coordinates:
Er 0.2500 0.2500 0.2500  12 Ga 3.03-3.05
Ga 0.0000 0.0000 0.2933  1 Ir 2.51, 4 Ga 2.78
Ga 0.0000 0.2500 0.5000  8 Ga 2.78-3.03, 4 Er 3.03
Ir 0.0000 0.0000 0.0000  6 Ga 2.51

No. 7
Density functional theory data (GGA-PBE) for Er4GaIr4 after structural relaxation.

a b c (Å): 7.8599 5.4916 10.6843
angles (deg): 90.00 122.49 90.00
Last column: nearest neighbours and their distance in Å.
Space group P2/c (No. 13)
Inequivalent atoms, fractional coordinates:
Er 0.1853 0.1154 0.1894  4 Ir 2.80-3.12
Er 0.2520 0.3813 0.9126  6 Ir 2.83-3.10
Ga 0.5000 0.3526 0.7500  4 Ir 2.41-2.59
Ir 0.1362 0.3739 0.6041  1 Ga 2.41, 1 Ir 2.52
Ir 0.3565 0.1085 0.5059  1 Ga 2.59, 2 Ir 2.61-2.86, 2 Er 2.83-2.89

No. 8
Density functional theory data (GGA-PBE) for Er2Ga2Ir after structural relaxation.

a b c (Å): 10.6811 4.0858 10.6058
angles (deg): 90.00 115.26 90.00
Last column: nearest neighbours and their distance in Å.
Space group C2/m (No. 12)
Inequivalent atoms, fractional coordinates:
Er 0.0054 0.0000 0.3283  6 Ga 3.00-3.21, 3 Ir 3.03-3.11
Er 0.1902 0.0000 0.1221  2 Ir 2.94, 6 Ga 3.06-3.15
Ga 0.0282 0.5000 0.8912  1 Ga 2.62, 1 Ir 2.66
Ga 0.1479 0.5000 0.5503  3 Ir 2.51-2.71
Ir 0.2154 0.5000 0.3308  4 Ga 2.51-2.71

No. 9
Density functional theory data (GGA-PBE) for Er3GaIr after structural relaxation.

a b c (Å): 9.5887 6.2136 9.7167
angles (deg): 90.00 118.92 90.00
Last column: nearest neighbours and their distance in Å.
Space group P2_1/c (No. 14)
Inequivalent atoms, fractional coordinates:
Er 0.1105 0.1002 0.2110  1 Ir 2.74, 3 Ga 2.91-3.01
Er 0.3044 0.5553 0.4663  2 Ir 2.77
Er 0.3574 0.0539 0.6468  3 Ir 2.77-2.87, 1 Ga 3.02
Ga 0.0533 0.6592 0.0957  1 Ga 2.57
Ir 0.4266 0.1864 0.4038  6 Er 2.74-2.87, 1 Ir 2.88

No. 10
Density functional theory data (GGA-PBE) for Er2Ga4Ir5 after structural relaxation.

a b c (Å): 5.6463 9.4469 15.0868
angles (deg): 90.00 90.00 90.00
Last column: nearest neighbours and their distance in Å.
Space group Fmmm (No. 69)
Inequivalent atoms, fractional coordinates:
Er 0.0000 0.0000 0.1166  6 Ga 3.19-3.26, 10 Ir 3.27-3.41, 1 Er 3.52
Ga 0.0000 0.1557 0.3686  5 Ir 2.45-2.59
Ir 0.0000 0.0000 0.5000  4 Ga 2.47, 4 Ir 2.75
Ir 0.2500 0.2500 0.0000  4 Ga 2.59, 4 Ir 2.75-2.82
Ir 0.2500 0.2500 0.2500  4 Ga 2.45

No. 11
Density functional theory data (GGA-PBE) for ErGaIr after structural relaxation.

a b c (Å): 3.1986 3.1986 10.8559
angles (deg): 90.00 90.00 90.00
Last column: nearest neighbours and their distance in Å.
Space group I4mm (No. 107)
Inequivalent atoms, fractional coordinates:
Er 0.0000 0.0000 0.0000  4 Ir 2.94, 5 Ga 3.15-3.24, 4 Er 3.20
Ga 0.0000 0.0000 0.2985  4 Ir 2.64
Ir 0.0000 0.0000 0.6735  4 Ga 2.64, 4 Er 2.94

No. 12
Density functional theory data (GGA-PBE) for Er3GaIr8 after structural relaxation.

a b c (Å): 5.3169 5.3169 26.0008
angles (deg): 90.00 90.00 120.00
Last column: nearest neighbours and their distance in Å.
Space group R3m (No. 160, hexagonal axes)
Inequivalent atoms, fractional coordinates:
Er 0.0000 0.0000 0.0000  12 Ir 3.11-3.12, 4 Er 3.33-3.35
Er 0.0000 0.0000 0.1289  12 Ir 3.02-3.17, 3 Ga 3.16, 1 Er 3.35
Er 0.0000 0.0000 0.6168  12 Ir 3.01-3.30, 1 Ga 3.27, 3 Er 3.33
Ga 0.0000 0.0000 0.4909  12 Ir 2.91-3.24, 3 Er 3.16
Ir 0.0000 0.0000 0.3128  6 Ir 2.65-2.66
Ir 0.0000 0.0000 0.8132  6 Ir 2.64-2.67
Ir 0.9997 0.4999 0.0624  6 Ir 2.65-2.67, 1 Ga 2.91
Ir 0.0002 0.5001 0.5624  6 Ir 2.64-2.66

Per-record DFT formation energy, eV/atom: -0.86; -0.61; -0.90; -0.85; -0.46; -0.59; -0.74; -0.78; -0.57; -0.60; -0.63; -0.59
Per-record E, eV/cell: -87.8; -540.9; -76.6; -173.6; -65.8; -146.9; -126.9; -111.7; -113.8; -288.5; -36.7; -284.1